*1*
Mn: optimized geometry, GGA-PBEsol.

Structure (CIF):
```
data_Mn
_chemical_formula_sum 'Mn5'
_symmetry_space_group_name_H-M 'P 1'
_symmetry_Int_Tables_number 1
_cell_length_a 4.5105
_cell_length_b 4.5105
_cell_length_c 4.5105
_cell_angle_alpha 109.47
_cell_angle_beta 109.47
_cell_angle_gamma 109.47
loop_
_symmetry_equiv_pos_as_xyz
'x,y,z'
loop_
_atom_site_label
_atom_site_fract_x
_atom_site_fract_y
_atom_site_fract_z
Mn1 0.0000 0.0000 0.0000
Mn2 0.5000 0.5000 0.5000
Mn3 0.0000 0.5000 0.0000
Mn4 0.5000 0.0000 0.0000
Mn5 0.0000 0.0000 0.5000
```

- space-group type = Im-3m, No. 229
- total moment (μB per formula unit) = 1.789


*2*
Mn: optimized geometry, GGA-PBEsol.

Structure (CIF):
```
data_Mn
_chemical_formula_sum 'Mn3'
_symmetry_space_group_name_H-M 'P 1'
_symmetry_Int_Tables_number 1
_cell_length_a 2.4207
_cell_length_b 3.8525
_cell_length_c 3.8525
_cell_angle_alpha 120.00
_cell_angle_beta 90.00
_cell_angle_gamma 90.00
loop_
_symmetry_equiv_pos_as_xyz
'x,y,z'
loop_
_atom_site_label
_atom_site_fract_x
_atom_site_fract_y
_atom_site_fract_z
Mn1 0.5000 0.3333 0.6667
Mn2 0.5000 0.6667 0.3333
Mn3 0.0000 0.0000 0.0000
```

- space-group type = P6/mmm, No. 191
- total moment (μB per formula unit) = 0.000


*3*
Mn: optimized geometry, GGA-PBEsol.

Structure (CIF):
```
data_Mn
_chemical_formula_sum 'Mn8'
_symmetry_space_group_name_H-M 'P 1'
_symmetry_Int_Tables_number 1
_cell_length_a 2.4378
_cell_length_b 4.7052
_cell_length_c 7.4710
_cell_angle_alpha 90.00
_cell_angle_beta 90.00
_cell_angle_gamma 105.01
loop_
_symmetry_equiv_pos_as_xyz
'x,y,z'
loop_
_atom_site_label
_atom_site_fract_x
_atom_site_fract_y
_atom_site_fract_z
Mn1 0.4814 0.9627 0.2500
Mn2 0.5186 0.0373 0.7500
Mn3 0.1255 0.2509 0.0165
Mn4 0.8745 0.7491 0.9835
Mn5 0.8745 0.7491 0.5165
Mn6 0.1255 0.2509 0.4835
Mn7 0.7473 0.4946 0.2500
Mn8 0.2527 0.5054 0.7500
```

- space-group type = Cmcm, No. 63
- total moment (μB per formula unit) = 0.000


Relative energies in meV/atom: *1* 1060; *2* 20; *3* 0


*1*
Mn: optimized geometry, GGA-PBEsol.

Structure (CIF):
```
data_Mn
_chemical_formula_sum 'Mn20'
_symmetry_space_group_name_H-M 'P 1'
_symmetry_Int_Tables_number 1
_cell_length_a 5.9395
_cell_length_b 5.9395
_cell_length_c 5.9395
_cell_angle_alpha 90.00
_cell_angle_beta 90.00
_cell_angle_gamma 90.00
loop_
_symmetry_equiv_pos_as_xyz
'x,y,z'
loop_
_atom_site_label
_atom_site_fract_x
_atom_site_fract_y
_atom_site_fract_z
Mn1 0.5534 0.5534 0.5534
Mn2 0.4466 0.0534 0.9466
Mn3 0.9466 0.4466 0.0534
Mn4 0.0534 0.9466 0.4466
Mn5 0.1966 0.1966 0.1966
Mn6 0.8034 0.6966 0.3034
Mn7 0.3034 0.8034 0.6966
Mn8 0.6966 0.3034 0.8034
Mn9 0.6250 0.6972 0.9472
Mn10 0.9472 0.6250 0.6972
Mn11 0.6972 0.9472 0.6250
Mn12 0.8750 0.3028 0.4472
Mn13 0.4472 0.8750 0.3028
Mn14 0.3028 0.4472 0.8750
Mn15 0.1250 0.8028 0.0528
Mn16 0.0528 0.1250 0.8028
Mn17 0.8028 0.0528 0.1250
Mn18 0.3750 0.1972 0.5528
Mn19 0.5528 0.3750 0.1972
Mn20 0.1972 0.5528 0.3750
```

- space-group type = P4_132, No. 213
- total moment (μB per formula unit) = 0.001


*2*
Mn: optimized geometry, GGA-PBEsol.

Structure (CIF):
```
data_Mn
_chemical_formula_sum 'Mn2'
_symmetry_space_group_name_H-M 'P 1'
_symmetry_Int_Tables_number 1
_cell_length_a 2.4491
_cell_length_b 2.4491
_cell_length_c 3.9663
_cell_angle_alpha 90.00
_cell_angle_beta 90.00
_cell_angle_gamma 120.00
loop_
_symmetry_equiv_pos_as_xyz
'x,y,z'
loop_
_atom_site_label
_atom_site_fract_x
_atom_site_fract_y
_atom_site_fract_z
Mn1 0.3333 0.6667 0.7500
Mn2 0.6667 0.3333 0.2500
```

- space-group type = P6_3/mmc, No. 194
- total moment (μB per formula unit) = 0.000


*3*
Mn: optimized geometry, GGA-PBEsol.

Structure (CIF):
```
data_Mn
_chemical_formula_sum 'Mn1'
_symmetry_space_group_name_H-M 'P 1'
_symmetry_Int_Tables_number 1
_cell_length_a 2.4444
_cell_length_b 2.4444
_cell_length_c 2.4444
_cell_angle_alpha 90.07
_cell_angle_beta 119.96
_cell_angle_gamma 119.96
loop_
_symmetry_equiv_pos_as_xyz
'x,y,z'
loop_
_atom_site_label
_atom_site_fract_x
_atom_site_fract_y
_atom_site_fract_z
Mn1 0.0000 0.5000 0.5000
```

- space-group type = Fm-3m, No. 225
- total moment (μB per formula unit) = 0.002


*4*
Mn: optimized geometry, GGA-PBEsol.

Structure (CIF):
```
data_Mn
_chemical_formula_sum 'Mn2'
_symmetry_space_group_name_H-M 'P 1'
_symmetry_Int_Tables_number 1
_cell_length_a 3.4556
_cell_length_b 3.4556
_cell_length_c 3.4556
_cell_angle_alpha 60.00
_cell_angle_beta 60.00
_cell_angle_gamma 60.00
loop_
_symmetry_equiv_pos_as_xyz
'x,y,z'
loop_
_atom_site_label
_atom_site_fract_x
_atom_site_fract_y
_atom_site_fract_z
Mn1 0.2500 0.2500 0.2500
Mn2 0.0000 0.0000 0.0000
```

- space-group type = Fd-3m, No. 227
- total moment (μB per formula unit) = 0.000


Relative energies in meV/atom: *1* 7; *2* 0; *3* 35; *4* 1479


*1*
Mn: optimized geometry, GGA-PBEsol.

Structure (CIF):
```
data_Mn
_chemical_formula_sum 'Mn8'
_symmetry_space_group_name_H-M 'P 1'
_symmetry_Int_Tables_number 1
_cell_length_a 4.3630
_cell_length_b 4.3630
_cell_length_c 4.3630
_cell_angle_alpha 90.00
_cell_angle_beta 90.00
_cell_angle_gamma 90.00
loop_
_symmetry_equiv_pos_as_xyz
'x,y,z'
loop_
_atom_site_label
_atom_site_fract_x
_atom_site_fract_y
_atom_site_fract_z
Mn1 0.0000 0.0000 0.0000
Mn2 0.5000 0.5000 0.5000
Mn3 0.2500 0.0000 0.5000
Mn4 0.7500 0.0000 0.5000
Mn5 0.0000 0.5000 0.2500
Mn6 0.0000 0.5000 0.7500
Mn7 0.5000 0.7500 0.0000
Mn8 0.5000 0.2500 0.0000
```

- space-group type = Pm-3n, No. 223
- total moment (μB per formula unit) = 0.002


*2*
Mn: optimized geometry, GGA-PBEsol.

Structure (CIF):
```
data_Mn
_chemical_formula_sum 'Mn29'
_symmetry_space_group_name_H-M 'P 1'
_symmetry_Int_Tables_number 1
_cell_length_a 7.3454
_cell_length_b 7.3454
_cell_length_c 7.3454
_cell_angle_alpha 109.47
_cell_angle_beta 109.47
_cell_angle_gamma 109.47
loop_
_symmetry_equiv_pos_as_xyz
'x,y,z'
loop_
_atom_site_label
_atom_site_fract_x
_atom_site_fract_y
_atom_site_fract_z
Mn1 0.0000 0.0000 0.0000
Mn2 0.3650 0.0000 0.0000
Mn3 0.0000 0.3650 0.0000
Mn4 0.6350 0.6350 0.6350
Mn5 0.0000 0.0000 0.3650
Mn6 0.6073 0.0000 0.3204
Mn7 0.6796 0.2869 0.6796
Mn8 0.3927 0.7131 0.3927
Mn9 0.6796 0.6796 0.2869
Mn10 0.3204 0.6073 0.0000
Mn11 0.7131 0.3927 0.3927
Mn12 0.0000 0.3204 0.6073
Mn13 0.0000 0.6073 0.3204
Mn14 0.3927 0.3927 0.7131
Mn15 0.6073 0.3204 0.0000
Mn16 0.2869 0.6796 0.6796
Mn17 0.3204 0.0000 0.6073
Mn18 0.6286 0.0000 0.8065
Mn19 0.1935 0.8222 0.1935
Mn20 0.3714 0.1778 0.3714
Mn21 0.1935 0.1935 0.8222
Mn22 0.8065 0.6286 0.0000
Mn23 0.1778 0.3714 0.3714
Mn24 0.0000 0.8065 0.6286
Mn25 0.0000 0.6286 0.8065
Mn26 0.3714 0.3714 0.1778
Mn27 0.6286 0.8065 0.0000
Mn28 0.8222 0.1935 0.1935
Mn29 0.8065 0.0000 0.6286
```

- space-group type = I-43m, No. 217
- total moment (μB per formula unit) = 0.065


Relative energies in meV/atom: *1* 61; *2* 0


*1*
MnNiMo: optimized geometry, GGA-PBEsol.

Structure (CIF):
```
data_MnNiMo
_chemical_formula_sum 'Mn1 Ni1 Mo1'
_symmetry_space_group_name_H-M 'P 1'
_symmetry_Int_Tables_number 1
_cell_length_a 2.6024
_cell_length_b 2.6024
_cell_length_c 6.3698
_cell_angle_alpha 90.00
_cell_angle_beta 90.00
_cell_angle_gamma 120.00
loop_
_symmetry_equiv_pos_as_xyz
'x,y,z'
loop_
_atom_site_label
_atom_site_fract_x
_atom_site_fract_y
_atom_site_fract_z
Mn1 0.0000 0.0000 0.0138
Mo1 0.6667 0.3333 0.6652
Ni1 0.3333 0.6667 0.3211
```

- space-group type = P3m1, No. 156
- total moment (μB per formula unit) = 1.907


*2*
MnNiMo: optimized geometry, GGA-PBEsol.

Structure (CIF):
```
data_MnNiMo
_chemical_formula_sum 'Mn1 Ni1 Mo1'
_symmetry_space_group_name_H-M 'P 1'
_symmetry_Int_Tables_number 1
_cell_length_a 3.9573
_cell_length_b 3.9573
_cell_length_c 3.9573
_cell_angle_alpha 60.00
_cell_angle_beta 60.00
_cell_angle_gamma 60.00
loop_
_symmetry_equiv_pos_as_xyz
'x,y,z'
loop_
_atom_site_label
_atom_site_fract_x
_atom_site_fract_y
_atom_site_fract_z
Mn1 0.0000 0.0000 0.0000
Mo1 0.5000 0.5000 0.5000
Ni1 0.2500 0.2500 0.2500
```

- space-group type = F-43m, No. 216
- total moment (μB per formula unit) = 3.871


Relative energies in meV/atom: *1* 0; *2* 413


*1*
MnMoPt2: optimized geometry, GGA-PBEsol.

Structure (CIF):
```
data_MnMoPt2
_chemical_formula_sum 'Mn1 Mo1 Pt2'
_symmetry_space_group_name_H-M 'P 1'
_symmetry_Int_Tables_number 1
_cell_length_a 3.7978
_cell_length_b 3.7978
_cell_length_c 3.9352
_cell_angle_alpha 90.00
_cell_angle_beta 90.00
_cell_angle_gamma 90.00
loop_
_symmetry_equiv_pos_as_xyz
'x,y,z'
loop_
_atom_site_label
_atom_site_fract_x
_atom_site_fract_y
_atom_site_fract_z
Mo1 0.0000 0.0000 0.5000
Mn1 0.5000 0.5000 0.5000
Pt1 0.0000 0.5000 0.0000
Pt2 0.5000 0.0000 0.0000
```

- space-group type = P4/mmm, No. 123
- total moment (μB per formula unit) = 1.124


*2*
MnMoPt2: optimized geometry, GGA-PBEsol.

Structure (CIF):
```
data_MnMoPt2
_chemical_formula_sum 'Mn1 Mo1 Pt2'
_symmetry_space_group_name_H-M 'P 1'
_symmetry_Int_Tables_number 1
_cell_length_a 3.8022
_cell_length_b 3.8022
_cell_length_c 4.7597
_cell_angle_alpha 113.54
_cell_angle_beta 113.54
_cell_angle_gamma 90.00
loop_
_symmetry_equiv_pos_as_xyz
'x,y,z'
loop_
_atom_site_label
_atom_site_fract_x
_atom_site_fract_y
_atom_site_fract_z
Mo1 0.5000 0.5000 0.0000
Mn1 0.0000 0.0000 0.0000
Pt1 0.7500 0.2500 0.5000
Pt2 0.2500 0.7500 0.5000
```

- space-group type = I4/mmm, No. 139
- total moment (μB per formula unit) = 2.245


*3*
MnMoPt2: optimized geometry, GGA-PBEsol.

Structure (CIF):
```
data_MnMoPt2
_chemical_formula_sum 'Mn1 Mo1 Pt2'
_symmetry_space_group_name_H-M 'P 1'
_symmetry_Int_Tables_number 1
_cell_length_a 3.8462
_cell_length_b 3.8462
_cell_length_c 4.7067
_cell_angle_alpha 114.12
_cell_angle_beta 114.12
_cell_angle_gamma 90.00
loop_
_symmetry_equiv_pos_as_xyz
'x,y,z'
loop_
_atom_site_label
_atom_site_fract_x
_atom_site_fract_y
_atom_site_fract_z
Mn1 0.5000 0.5000 0.0000
Mo1 0.7500 0.2500 0.5000
Pt1 0.0000 0.0000 0.0000
Pt2 0.2500 0.7500 0.5000
```

- space-group type = I-4m2, No. 119
- total moment (μB per formula unit) = 2.214


*4*
MnMoPt2: optimized geometry, GGA-PBEsol.

Structure (CIF):
```
data_MnMoPt2
_chemical_formula_sum 'Mn1 Mo1 Pt2'
_symmetry_space_group_name_H-M 'P 1'
_symmetry_Int_Tables_number 1
_cell_length_a 4.3881
_cell_length_b 4.3881
_cell_length_c 4.3881
_cell_angle_alpha 60.00
_cell_angle_beta 60.00
_cell_angle_gamma 60.00
loop_
_symmetry_equiv_pos_as_xyz
'x,y,z'
loop_
_atom_site_label
_atom_site_fract_x
_atom_site_fract_y
_atom_site_fract_z
Mo1 0.5000 0.5000 0.5000
Mn1 0.0000 0.0000 0.0000
Pt1 0.2500 0.2500 0.2500
Pt2 0.7500 0.7500 0.7500
```

- space-group type = Fm-3m, No. 225
- total moment (μB per formula unit) = 3.404


Relative energies in meV/atom: *1* 54; *2* 0; *3* 75; *4* 334


*1*
MnReMo2: optimized geometry, GGA-PBEsol.

Structure (CIF):
```
data_MnReMo2
_chemical_formula_sum 'Mn1 Re1 Mo2'
_symmetry_space_group_name_H-M 'P 1'
_symmetry_Int_Tables_number 1
_cell_length_a 3.1069
_cell_length_b 4.3194
_cell_length_c 5.0146
_cell_angle_alpha 115.51
_cell_angle_beta 108.05
_cell_angle_gamma 90.00
loop_
_symmetry_equiv_pos_as_xyz
'x,y,z'
loop_
_atom_site_label
_atom_site_fract_x
_atom_site_fract_y
_atom_site_fract_z
Mn1 0.2513 0.7513 0.5026
Mo1 0.0018 0.0018 0.0037
Mo2 0.7490 0.2490 0.4980
Re1 0.4979 0.4979 0.9957
```

- space-group type = Imm2, No. 44
- total moment (μB per formula unit) = 1.966


*2*
MnReMo2: optimized geometry, GGA-PBEsol.

Structure (CIF):
```
data_MnReMo2
_chemical_formula_sum 'Mn1 Re1 Mo2'
_symmetry_space_group_name_H-M 'P 1'
_symmetry_Int_Tables_number 1
_cell_length_a 2.7272
_cell_length_b 2.7272
_cell_length_c 8.8894
_cell_angle_alpha 81.18
_cell_angle_beta 81.18
_cell_angle_gamma 60.00
loop_
_symmetry_equiv_pos_as_xyz
'x,y,z'
loop_
_atom_site_label
_atom_site_fract_x
_atom_site_fract_y
_atom_site_fract_z
Mn1 0.0000 0.0000 0.0000
Mo1 0.2549 0.2549 0.2353
Mo2 0.7451 0.7451 0.7647
Re1 0.5000 0.5000 0.5000
```

- space-group type = R-3m, No. 166
- total moment (μB per formula unit) = 0.001


Relative energies in meV/atom: *1* 0; *2* 196